Entry 1:
DFT (PBE-GGA) results for YMn2NbRh after structural relaxation.

Cell lengths 4.755, 4.755, 4.789 Å; angles 90.00, 90.00, 90.00 degrees
Space group P4/mmm (No. 123)
One atom of each set of equivalent atoms:
1 Y 0.000 0.000 0.000 (multiplicity 1)
2 Mn 0.000 0.500 0.000 (multiplicity 2)
3 Nb 0.500 0.500 0.500 (multiplicity 1)
4 Rh 0.000 0.000 0.500 (multiplicity 1)

**Calculated formation energy**: 154 kJ/mol of atoms



Entry 2:
DFT (PBE-GGA) results for ZnFe2Au after structural relaxation.

Cell lengths 2.713, 3.846, 5.373 Å; angles 90.00, 90.13, 90.00 degrees
Space group P2/m (No. 10)
One atom of each set of equivalent atoms:
1 Zn 0.000 0.000 0.000 (multiplicity 1)
2 Fe 0.500 0.500 0.230 (multiplicity 2)
3 Au 0.000 0.000 0.500 (multiplicity 1)

**Calculated formation energy**: 8 kJ/mol of atoms



Entry 3:
DFT (PBE-GGA) results for Sm2MgPb9 after structural relaxation.

Cell lengths 4.806, 4.806, 15.298 Å; angles 90.00, 90.00, 90.00 degrees
Space group P4/mmm (No. 123)
One atom of each set of equivalent atoms:
1 Sm 0.000 0.000 0.160 (multiplicity 2)
2 Mg 0.000 0.000 0.500 (multiplicity 1)
3 Pb 0.000 0.500 0.000 (multiplicity 2)
4 Pb 0.000 0.500 0.337 (multiplicity 4)
5 Pb 0.500 0.500 0.171 (multiplicity 2)
6 Pb 0.500 0.500 0.500 (multiplicity 1)

**Calculated formation energy**: -22 kJ/mol of atoms



Entry 4:
DFT (PBE-GGA) results for HfTl2Pb after structural relaxation.

Cell lengths 3.3196, 3.3196, 36.2058 Å; angles 90.00, 90.00, 120.00 degrees
Space group R-3m (No. 166, hexagonal axes)
One atom of each set of equivalent atoms:
1 Hf 0.0000 0.0000 0.0000 (multiplicity 3)
2 Tl 0.0000 0.0000 0.0825 (multiplicity 6)
3 Pb 0.0000 0.0000 0.5000 (multiplicity 3)

**Calculated formation energy**: 32 kJ/mol of atoms
**ΔE to the lowest computed polymorph**: 0.000 eV per atom



Entry 5:
DFT (PBE-GGA) results for CaRe2Tc after structural relaxation.

Cell lengths 5.519, 9.346, 2.688 Å; angles 90.00, 108.00, 90.00 degrees
Space group C2/m (No. 12)
One atom of each set of equivalent atoms:
1 Ca 0.000 0.000 0.000 (multiplicity 2)
2 Re 0.250 0.250 0.500 (multiplicity 4)
3 Tc 0.000 0.500 0.000 (multiplicity 2)

**Calculated formation energy**: 59 kJ/mol of atoms
**ΔE to the lowest computed polymorph**: 0.147 eV per atom



Entry 6:
DFT (PBE-GGA) results for SrCa2Se after structural relaxation.

Cell lengths 3.858, 5.867, 12.395 Å; angles 90.00, 90.00, 90.00 degrees
Space group Immm (No. 71)
One atom of each set of equivalent atoms:
1 Sr 0.000 0.000 0.000 (multiplicity 2)
2 Ca 0.000 0.500 0.188 (multiplicity 4)
3 Se 0.000 0.000 0.500 (multiplicity 2)

**Formation energy without anion corrections**: -0.83 eV/atom